[1]
The following is a PBE calculation of a geometry-optimized Sc3As structure, from Alexandria via LeMat-Bulk.

Geometry as CIF:
```
data_Sc3As
_chemical_formula_sum 'Sc3 As1'
_cell_length_a 3.644
_cell_length_b 3.644
_cell_length_c 8.387
_cell_angle_alpha 90.00
_cell_angle_beta 90.00
_cell_angle_gamma 120.00
_symmetry_space_group_name_H-M 'P 1'
_symmetry_Int_Tables_number 1
_symmetry_space_group_name_Hall 'P 1'
loop_
_atom_site_label
_atom_site_fract_x
_atom_site_fract_y
_atom_site_fract_z
Sc1 0.667 0.333 0.800
Sc2 0.000 0.000 0.500
Sc3 0.667 0.333 0.200
As1 0.000 0.000 0.000
```

Results
- symmetry = P-6m2
- DFT formation energy (eV/atom) = -0.472

[2]
The following is a PBE calculation of a geometry-optimized NiSnTe2 structure, from Alexandria via LeMat-Bulk.

Geometry as CIF:
```
data_NiSnTe2
_chemical_formula_sum 'Ni2 Sn2 Te4'
_cell_length_a 6.286
_cell_length_b 6.286
_cell_length_c 7.619
_cell_angle_alpha 65.64
_cell_angle_beta 65.64
_cell_angle_gamma 90.00
_symmetry_space_group_name_H-M 'P 1'
_symmetry_Int_Tables_number 1
_symmetry_space_group_name_Hall 'P 1'
loop_
_atom_site_label
_atom_site_fract_x
_atom_site_fract_y
_atom_site_fract_z
Sn1 0.000 0.000 0.000
Sn2 0.750 0.250 0.500
Ni1 0.500 0.500 0.000
Ni2 0.250 0.750 0.500
Te1 0.189 0.625 0.250
Te2 0.875 0.811 0.750
Te3 0.375 0.439 0.750
Te4 0.561 0.125 0.250
```

Results
- symmetry = I-42d
- raw formation energy (meV per atom) = -87

[3]
The following is a PBE calculation of a geometry-optimized Ac4Ag3Pb structure, from Alexandria via LeMat-Bulk.

Geometry as CIF:
```
data_Ac4Ag3Pb
_chemical_formula_sum 'Ac4 Ag3 Pb1'
_cell_length_a 5.688
_cell_length_b 5.688
_cell_length_c 8.980
_cell_angle_alpha 108.51
_cell_angle_beta 108.47
_cell_angle_gamma 90.00
_symmetry_space_group_name_H-M 'P 1'
_symmetry_Int_Tables_number 1
_symmetry_space_group_name_Hall 'P 1'
loop_
_atom_site_label
_atom_site_fract_x
_atom_site_fract_y
_atom_site_fract_z
Ac1 0.128 0.129 0.257
Ac2 0.629 0.629 0.257
Ac3 0.872 0.871 0.743
Ac4 0.371 0.371 0.743
Ag1 0.752 0.252 0.504
Ag2 0.248 0.748 0.496
Ag3 0.000 0.500 0.000
Pb1 0.500 0.000 0.000
```

Results
- symmetry = I4/mmm
- DFT formation energy (eV/atom) = -0.313

[4]
The following is a PBE calculation of a geometry-optimized Re3Au structure, from Alexandria via LeMat-Bulk.

Geometry as CIF:
```
data_Re3Au
_chemical_formula_sum 'Re3 Au1'
_cell_length_a 4.802
_cell_length_b 4.802
_cell_length_c 2.838
_cell_angle_alpha 90.00
_cell_angle_beta 90.00
_cell_angle_gamma 109.53
_symmetry_space_group_name_H-M 'P 1'
_symmetry_Int_Tables_number 1
_symmetry_space_group_name_Hall 'P 1'
loop_
_atom_site_label
_atom_site_fract_x
_atom_site_fract_y
_atom_site_fract_z
Re1 0.000 0.500 0.500
Re2 0.500 0.000 0.500
Re3 0.500 0.500 0.000
Au1 0.000 0.000 0.000
```

Results
- symmetry = Cmmm
- DFT formation energy (eV/atom) = 0.385